Material: As2Pt2Pb3
Method: DFT, PBE
State: optimized geometry

a = 4.6608 Å, b = 4.6608 Å, c = 26.0441 Å
α = 90.00°, β = 90.00°, γ = 120.00°
Space group R3m (No. 160, hexagonal axes)
Unique sites:
As  0.0000  0.0000  0.0000
As  0.0000  0.0000  0.3771
Pt  0.0000  0.0000  0.1491
Pt  0.0000  0.0000  0.6544
Pb  0.0000  0.0000  0.2628
Pb  0.0000  0.0000  0.5177
Pb  0.0000  0.0000  0.7697

Results
Electronic total energy   -4.612 eV per atom
Total magnetic moment   0.02 μB/cell


Material: SmAsPbSe3
Method: DFT, PBE
State: optimized geometry

a = 4.405 Å, b = 15.484 Å, c = 9.524 Å
α = 90.00°, β = 90.00°, γ = 90.00°
Space group Cmcm (No. 63)
Unique sites:
Sm  0.000  0.000  0.000
As  0.000  0.469  0.250
Pb  0.000  0.244  0.750
Se  0.000  0.136  0.250
Se  0.000  0.372  0.043

Results
Electronic total energy   -4.675 eV per atom
Total magnetic moment   0.01 μB/cell


Material: TbAsPbSe3
Method: DFT, PBE
State: optimized geometry

a = 4.349 Å, b = 15.440 Å, c = 9.504 Å
α = 90.00°, β = 90.00°, γ = 90.00°
Space group Cmcm (No. 63)
Unique sites:
Tb  0.000  0.000  0.000
As  0.000  0.471  0.250
Pb  0.000  0.243  0.750
Se  0.000  0.134  0.250
Se  0.000  0.374  0.041

Results
Electronic total energy   -4.639 eV per atom
Total magnetic moment   0.01 μB/cell


Material: TmAsPbSe3
Method: DFT, PBE
State: optimized geometry

a = 4.286 Å, b = 15.390 Å, c = 9.511 Å
α = 90.00°, β = 90.00°, γ = 90.00°
Space group Cmcm (No. 63)
Unique sites:
Tm  0.000  0.000  0.000
As  0.000  0.472  0.250
Pb  0.000  0.243  0.750
Se  0.000  0.132  0.250
Se  0.000  0.376  0.040

Results
Electronic total energy   -4.571 eV per atom
Total magnetic moment   0.05 μB/cell


Material: TaAsPb
Method: DFT, PBE
State: optimized geometry

a = 6.636 Å, b = 6.636 Å, c = 6.636 Å
α = 90.00°, β = 90.00°, γ = 90.00°
Space group F-43m (No. 216)
Unique sites:
Ta  0.000  0.000  0.000
As  0.250  0.250  0.750
Pb  0.250  0.250  0.250

Results
Electronic total energy   -6.070 eV per atom
Total magnetic moment   0.01 μB/cell


Material: TaAsPb
Method: DFT, PBE
State: optimized geometry

a = 6.786 Å, b = 6.786 Å, c = 6.786 Å
α = 90.00°, β = 90.00°, γ = 90.00°
Space group F-43m (No. 216)
Unique sites:
Ta  0.000  0.000  0.000
As  0.000  0.000  0.500
Pb  0.250  0.250  0.750

Results
Electronic total energy   -5.408 eV per atom
Total magnetic moment   6.07 μB/cell


Material: TbTe3AsPb
Method: DFT, PBE
State: optimized geometry

a = 4.498 Å, b = 16.311 Å, c = 10.153 Å
α = 90.00°, β = 90.00°, γ = 90.00°
Space group Cmcm (No. 63)
Unique sites:
Tb  0.000  0.000  0.000
Te  0.000  0.132  0.250
Te  0.000  0.369  0.042
As  0.000  0.473  0.250
Pb  0.000  0.236  0.750

Results
Electronic total energy   -4.228 eV per atom
Total magnetic moment   0.01 μB/cell


Material: TcAs2Pb
Method: DFT, PBE
State: optimized geometry

a = 6.741 Å, b = 6.741 Å, c = 6.741 Å
α = 90.00°, β = 90.00°, γ = 90.00°
Space group F-43m (No. 216)
Unique sites:
Tc  0.000  0.000  0.000
As  0.000  0.000  0.500
As  0.250  0.250  0.250
Pb  0.250  0.250  0.750

Results
Electronic total energy   -5.147 eV per atom
Total magnetic moment   0.01 μB/cell


Material: TcAsPb2
Method: DFT, PBE
State: optimized geometry

a = 7.046 Å, b = 7.046 Å, c = 7.046 Å
α = 90.00°, β = 90.00°, γ = 90.00°
Space group F-43m (No. 216)
Unique sites:
Tc  0.000  0.000  0.000
As  0.250  0.250  0.250
Pb  0.000  0.000  0.500
Pb  0.250  0.250  0.750

Results
Electronic total energy   -4.886 eV per atom
Total magnetic moment   2.72 μB/cell


Material: TmTe3AsPb
Method: DFT, PBE
State: optimized geometry

a = 4.325 Å, b = 16.086 Å, c = 10.405 Å
α = 90.00°, β = 90.00°, γ = 90.00°
Space group Cmcm (No. 63)
Unique sites:
Tm  0.000  0.000  0.000
Te  0.000  0.117  0.250
Te  0.000  0.364  0.040
As  0.000  0.466  0.250
Pb  0.000  0.242  0.750

Results
Electronic total energy   -4.152 eV per atom
Total magnetic moment   0.03 μB/cell


Material: TmAsPb
Method: DFT, PBE
State: optimized geometry

a = 7.098 Å, b = 7.098 Å, c = 7.098 Å
α = 90.00°, β = 90.00°, γ = 90.00°
Space group F-43m (No. 216)
Unique sites:
Tm  0.000  0.000  0.000
As  0.000  0.000  0.500
Pb  0.250  0.250  0.750

Results
Electronic total energy   -4.184 eV per atom
Total magnetic moment   0.00 μB/cell


Material: TmAsPb
Method: DFT, PBE
State: optimized geometry

a = 7.027 Å, b = 7.027 Å, c = 7.027 Å
α = 90.00°, β = 90.00°, γ = 90.00°
Space group F-43m (No. 216)
Unique sites:
Tm  0.000  0.000  0.000
As  0.250  0.250  0.750
Pb  0.250  0.250  0.250

Results
Electronic total energy   -4.454 eV per atom
Total magnetic moment   0.00 μB/cell


Material: As2Pb2W
Method: DFT, PBE
State: optimized geometry

a = 4.624 Å, b = 4.624 Å, c = 25.554 Å
α = 90.00°, β = 90.00°, γ = 90.00°
Space group I4/mmm (No. 139)
Unique sites:
As  0.000  0.000  0.081
As  0.000  0.500  0.250
Pb  0.000  0.000  0.186
Pb  0.000  0.500  0.000
W  0.000  0.000  0.429

Results
Electronic total energy   -4.742 eV per atom
Total magnetic moment   11.51 μB/cell


Material: Zn2As2Pb
Method: DFT, PBE
State: optimized geometry

a = 4.005 Å, b = 4.005 Å, c = 13.545 Å
α = 90.00°, β = 90.00°, γ = 90.00°
Space group I4/mmm (No. 139)
Unique sites:
Zn  0.000  0.500  0.250
As  0.000  0.000  0.128
Pb  0.000  0.000  0.500

Results
Electronic total energy   -3.157 eV per atom


Material: ZnAsPb
Method: DFT, PBE
State: optimized geometry

a = 6.922 Å, b = 6.922 Å, c = 6.922 Å
α = 90.00°, β = 90.00°, γ = 90.00°
Space group F-43m (No. 216)
Unique sites:
Zn  0.000  0.000  0.000
As  0.000  0.000  0.500
Pb  0.250  0.250  0.750

Results
Electronic total energy   -2.866 eV per atom


Material: ZrAsPb
Method: DFT, PBE
State: optimized geometry

a = 6.829 Å, b = 6.829 Å, c = 6.829 Å
α = 90.00°, β = 90.00°, γ = 90.00°
Space group F-43m (No. 216)
Unique sites:
Zr  0.000  0.000  0.000
As  0.250  0.250  0.750
Pb  0.250  0.250  0.250

Results
Electronic total energy   -5.514 eV per atom
Total magnetic moment   0.15 μB/cell


Material: ZrAsPb
Method: DFT, PBE
State: optimized geometry

a = 6.947 Å, b = 6.947 Å, c = 6.947 Å
α = 90.00°, β = 90.00°, γ = 90.00°
Space group F-43m (No. 216)
Unique sites:
Zr  0.000  0.000  0.000
As  0.000  0.000  0.500
Pb  0.250  0.250  0.750

Results
Electronic total energy   -5.093 eV per atom
Total magnetic moment   2.02 μB/cell


Material: Zr3AsPb
Method: DFT, PBE
State: optimized geometry

a = 3.891 Å, b = 11.720 Å, c = 10.045 Å
α = 90.00°, β = 90.00°, γ = 90.00°
Space group Cmcm (No. 63)
Unique sites:
Zr  0.000  0.047  0.250
Zr  0.000  0.355  0.059
As  0.000  0.000  0.000
Pb  0.000  0.257  0.750

Results
Electronic total energy   -7.344 eV per atom
Total magnetic moment   0.05 μB/cell


Material: As2Pd
Method: DFT, PBE
State: optimized geometry

a = 6.970 Å, b = 3.962 Å, c = 8.003 Å
α = 90.00°, β = 90.00°, γ = 90.00°
Space group Pnma (No. 62)
Unique sites:
As  0.007  0.250  0.141
As  0.121  0.250  0.583
Pd  0.242  0.250  0.899

Results
Electronic total energy   -4.906 eV per atom


Material: AsPd15
Method: DFT, PBE
State: optimized geometry

a = 5.528 Å, b = 3.918 Å, c = 34.127 Å
α = 90.00°, β = 90.00°, γ = 90.00°
Space group P2_1/m (No. 11)
Unique sites:
As  0.124  0.250  0.203
Pd  0.124  0.250  0.770
Pd  0.125  0.250  0.275
Pd  0.125  0.250  0.357
Pd  0.125  0.250  0.439
Pd  0.125  0.250  0.521
Pd  0.125  0.250  0.603
Pd  0.126  0.250  0.685
Pd  0.374  0.750  0.230
Pd  0.374  0.750  0.809
Pd  0.375  0.750  0.315
Pd  0.375  0.750  0.398
Pd  0.375  0.750  0.480
Pd  0.375  0.750  0.562
Pd  0.375  0.750  0.644
Pd  0.375  0.750  0.726

Results
Electronic total energy   -5.154 eV per atom